1.
## TiAl2Sb (PBE)

Data for TiAl2Sb after structural relaxation.

abc: 4.8200 4.8200 4.8200
angles: 60.00 60.00 60.00
Atoms (fractional coordinates):
Ti 0.0000 0.0000 0.0000
Al 0.2500 0.2500 0.2500
Al 0.7500 0.7500 0.7500
Sb 0.5000 0.5000 0.5000

Computed properties:
Polymorph energy (0 for the lowest one): 0.099 eV per atom
Volume: 79.2 Å³ per cell
Size of the total moment: 0.426 μB per atom
Calculated total energy: -4.575 eV/atom
Space-group type: Fm-3m

---

2.
## Ti6AlSb (PBE)

Data for Ti6AlSb after structural relaxation.

abc: 4.6957 5.7841 5.7841
angles: 61.35 90.00 90.00
Atoms (fractional coordinates):
Ti 0.0000 0.0000 0.0000
Ti 0.0000 0.5028 0.9938
Ti 0.0000 0.9938 0.5028
Ti 0.5000 0.3176 0.3176
Ti 0.5000 0.3220 0.8220
Ti 0.5000 0.8220 0.3220
Al 0.5000 0.8263 0.8263
Sb 0.0000 0.4940 0.4940

Computed properties:
Polymorph energy (0 for the lowest one): 0.000 eV per atom
Volume: 137.9 Å³ per cell
Size of the total moment: 0.000 μB per atom
Calculated total energy: -7.215 eV/atom
Space-group type: Amm2

---

3.
## Ti6AlSb (PBE)

Data for Ti6AlSb after structural relaxation.

abc: 4.7666 4.7666 7.2729
angles: 100.21 100.21 71.60
Atoms (fractional coordinates):
Ti 0.0358 0.5479 0.2122
Ti 0.1232 0.1232 0.4282
Ti 0.4521 0.9642 0.7878
Ti 0.5479 0.0358 0.2122
Ti 0.8768 0.8768 0.5718
Ti 0.9642 0.4521 0.7878
Al 0.5000 0.5000 0.5000
Sb 0.0000 0.0000 0.0000

Computed properties:
Polymorph energy (0 for the lowest one): 0.362 eV per atom
Volume: 153.0 Å³ per cell
Size of the total moment: 0.000 μB per atom
Calculated total energy: -6.854 eV/atom
Space-group type: C2/m

---

4.
## Ti6AlSb3 (PBE)

Data for Ti6AlSb3 after structural relaxation.

abc: 7.9723 7.9723 6.8556
angles: 90.00 90.00 114.92
Atoms (fractional coordinates):
Ti 0.0147 0.4411 0.0110
Ti 0.0538 0.9462 0.5000
Ti 0.2324 0.3776 0.3045
Ti 0.2657 0.7343 0.2492
Ti 0.3776 0.2324 0.8045
Ti 0.4411 0.0147 0.5110
Ti 0.5589 0.9853 0.0110
Ti 0.6224 0.7676 0.3045
Ti 0.7343 0.2657 0.7492
Ti 0.7676 0.6224 0.8045
Ti 0.9462 0.0538 0.0000
Ti 0.9853 0.5589 0.5110
Al 0.1797 0.8203 0.8093
Al 0.8203 0.1797 0.3093
Sb 0.0890 0.2966 0.6676
Sb 0.2966 0.0890 0.1676
Sb 0.4199 0.5801 0.9746
Sb 0.5801 0.4199 0.4746
Sb 0.7034 0.9110 0.6676
Sb 0.9110 0.7034 0.1676

Computed properties:
Volume: 395.2 Å³ per cell
Size of the total moment: 0.000 μB per atom
Calculated total energy: -6.606 eV/atom
Space-group type: Cmc2_1